# 1
VASP calculation (PBE-GGA) on crystalline TmZr2V at its relaxed geometry.

E above lowest polymorph ... 114 meV per atom
Energy relative to the elements ... 0.28 eV per atom
SG ... R-3m (166)
Crystal system ... trigonal

a = 3.239 Å, b = 3.239 Å, c = 29.698 Å
α = 90.00°, β = 90.00°, γ = 120.00°
Sites, in units of the cell vectors:
Tm: 0.000 0.000 0.000
Tm: 0.333 0.667 0.667
Tm: 0.667 0.333 0.333
Zr: 0.000 0.000 0.239
Zr: 0.000 0.000 0.761
Zr: 0.333 0.667 0.428
Zr: 0.333 0.667 0.905
Zr: 0.667 0.333 0.095
Zr: 0.667 0.333 0.572
V: 0.000 0.000 0.500
V: 0.333 0.667 0.167
V: 0.667 0.333 0.833

# 2
VASP calculation (PBE-GGA) on crystalline TmZr2V at its relaxed geometry.

E above lowest polymorph ... 0 meV per atom
Energy relative to the elements ... 0.17 eV per atom
SG ... P4/mmm (123)
Crystal system ... tetragonal

a = 3.405 Å, b = 3.405 Å, c = 7.649 Å
α = 90.00°, β = 90.00°, γ = 90.00°
Sites, in units of the cell vectors:
Tm: 0.000 0.000 0.000
Zr: 0.500 0.500 0.299
Zr: 0.500 0.500 0.701
V: 0.000 0.000 0.500

# 3
VASP calculation (PBE-GGA) on crystalline TmZrV at its relaxed geometry.

Energy relative to the elements ... 0.37 eV per atom
SG ... R3m (160)
Crystal system ... trigonal

a = 3.274 Å, b = 3.274 Å, c = 21.912 Å
α = 90.00°, β = 90.00°, γ = 120.00°
Sites, in units of the cell vectors:
Tm: 0.000 0.000 0.000
Tm: 0.333 0.667 0.667
Tm: 0.667 0.333 0.333
Zr: 0.000 0.000 0.201
Zr: 0.333 0.667 0.868
Zr: 0.667 0.333 0.535
V: 0.000 0.000 0.774
V: 0.333 0.667 0.441
V: 0.667 0.333 0.107

# 4
VASP calculation (PBE-GGA) on crystalline Tm4W at its relaxed geometry.

Energy relative to the elements ... 0.55 eV per atom
SG ... Pm-3m (221)
Crystal system ... cubic

a = 5.382 Å, b = 5.382 Å, c = 5.382 Å
α = 90.00°, β = 90.00°, γ = 90.00°
Sites, in units of the cell vectors:
Tm: 0.000 0.000 0.000
Tm: 0.000 0.500 0.500
Tm: 0.500 0.000 0.500
Tm: 0.500 0.500 0.000
W: 0.500 0.500 0.500

# 5
VASP calculation (PBE-GGA) on crystalline YTmW4 at its relaxed geometry.

Energy relative to the elements ... 0.12 eV per atom
SG ... F-43m (216)
Crystal system ... cubic

a = 5.531 Å, b = 5.531 Å, c = 5.531 Å
α = 60.00°, β = 60.00°, γ = 60.00°
Sites, in units of the cell vectors:
Y: 0.000 0.000 0.000
Tm: 0.750 0.750 0.750
W: 0.375 0.375 0.375
W: 0.375 0.375 0.875
W: 0.375 0.875 0.375
W: 0.875 0.375 0.375

# 6
VASP calculation (PBE-GGA) on crystalline TmZr2W at its relaxed geometry.

E above lowest polymorph ... 147 meV per atom
Energy relative to the elements ... 0.30 eV per atom
SG ... R-3m (166)
Crystal system ... trigonal

a = 3.301 Å, b = 3.301 Å, c = 29.260 Å
α = 90.00°, β = 90.00°, γ = 120.00°
Sites, in units of the cell vectors:
Tm: 0.000 0.000 0.000
Tm: 0.333 0.667 0.667
Tm: 0.667 0.333 0.333
Zr: 0.000 0.000 0.237
Zr: 0.000 0.000 0.763
Zr: 0.333 0.667 0.430
Zr: 0.333 0.667 0.904
Zr: 0.667 0.333 0.096
Zr: 0.667 0.333 0.570
W: 0.000 0.000 0.500
W: 0.333 0.667 0.167
W: 0.667 0.333 0.833

# 7
VASP calculation (PBE-GGA) on crystalline TmZr2W at its relaxed geometry.

E above lowest polymorph ... 0 meV per atom
Energy relative to the elements ... 0.16 eV per atom
SG ... P4/mmm (123)
Crystal system ... tetragonal

a = 3.455 Å, b = 3.455 Å, c = 7.580 Å
α = 90.00°, β = 90.00°, γ = 90.00°
Sites, in units of the cell vectors:
Tm: 0.000 0.000 0.000
Zr: 0.500 0.500 0.297
Zr: 0.500 0.500 0.703
W: 0.000 0.000 0.500

# 8
VASP calculation (PBE-GGA) on crystalline Y5Tm7 at its relaxed geometry.

E above lowest polymorph ... 194 meV per atom
Energy relative to the elements ... 0.20 eV per atom
SG ... C2/m (12)
Crystal system ... monoclinic

a = 5.556 Å, b = 5.556 Å, c = 14.540 Å
α = 100.98°, β = 100.98°, γ = 60.40°
Sites, in units of the cell vectors:
Y: 0.000 0.000 0.000
Y: 0.145 0.145 0.438
Y: 0.393 0.393 0.194
Y: 0.607 0.607 0.806
Y: 0.855 0.855 0.562
Tm: 0.065 0.065 0.212
Tm: 0.229 0.229 0.674
Tm: 0.309 0.309 0.922
Tm: 0.500 0.500 0.500
Tm: 0.691 0.691 0.078
Tm: 0.771 0.771 0.326
Tm: 0.935 0.935 0.788

# 9
VASP calculation (PBE-GGA) on crystalline Y3Tm7 at its relaxed geometry.

E above lowest polymorph ... 0 meV per atom
Energy relative to the elements ... 0.06 eV per atom
SG ... C2/m (12)
Crystal system ... monoclinic

a = 8.645 Å, b = 8.645 Å, c = 7.019 Å
α = 101.70°, β = 101.70°, γ = 37.14°
Sites, in units of the cell vectors:
Y: 0.000 0.000 0.000
Y: 0.211 0.211 0.355
Y: 0.789 0.789 0.645
Tm: 0.000 0.000 0.500
Tm: 0.213 0.213 0.857
Tm: 0.401 0.401 0.201
Tm: 0.403 0.403 0.701
Tm: 0.597 0.597 0.299
Tm: 0.599 0.599 0.799
Tm: 0.787 0.787 0.143

# 10
VASP calculation (PBE-GGA) on crystalline YTm2 at its relaxed geometry.

E above lowest polymorph ... 0 meV per atom
Energy relative to the elements ... 0.03 eV per atom
SG ... I4/mmm (139)
Crystal system ... tetragonal

a = 3.511 Å, b = 3.511 Å, c = 14.969 Å
α = 90.00°, β = 90.00°, γ = 90.00°
Sites, in units of the cell vectors:
Y: 0.000 0.000 0.000
Y: 0.500 0.500 0.500
Tm: 0.000 0.000 0.332
Tm: 0.000 0.000 0.668
Tm: 0.500 0.500 0.168
Tm: 0.500 0.500 0.832

# 11
VASP calculation (PBE-GGA) on crystalline Y2Tm5 at its relaxed geometry.

E above lowest polymorph ... 2 meV per atom
Energy relative to the elements ... 0.00 eV per atom
SG ... C2/c (15)
Crystal system ... monoclinic

a = 10.999 Å, b = 10.999 Å, c = 6.619 Å
α = 90.92°, β = 90.92°, γ = 32.82°
Sites, in units of the cell vectors:
Y: 0.011 0.844 0.892
Y: 0.156 0.989 0.608
Y: 0.844 0.011 0.392
Y: 0.989 0.156 0.108
Tm: 0.132 0.299 0.822
Tm: 0.273 0.440 0.534
Tm: 0.299 0.132 0.322
Tm: 0.418 0.582 0.250
Tm: 0.440 0.273 0.034
Tm: 0.560 0.727 0.966
Tm: 0.582 0.418 0.750
Tm: 0.701 0.868 0.678
Tm: 0.727 0.560 0.466
Tm: 0.868 0.701 0.178

# 12
VASP calculation (PBE-GGA) on crystalline YTm2 at its relaxed geometry.

E above lowest polymorph ... 211 meV per atom
Energy relative to the elements ... 0.24 eV per atom
SG ... Fd-3m (227)
Crystal system ... cubic

a = 6.502 Å, b = 6.502 Å, c = 6.502 Å
α = 60.00°, β = 60.00°, γ = 60.00°
Sites, in units of the cell vectors:
Y: 0.125 0.125 0.125
Y: 0.875 0.875 0.875
Tm: 0.000 0.500 0.500
Tm: 0.500 0.000 0.500
Tm: 0.500 0.500 0.000
Tm: 0.500 0.500 0.500